Entry from the Alexandria database: an optimized crystal structure of Th3Tl2Co2 (PBE).

For the density, the calculation gives 11.95 Mg/m³. For the formation energy, the calculation gives -1.95 eV/f.u. The value obtained for the uncorrected energy is -6.17 eV per atom. As for the space group: No. 65.

Unit cell a=12.1335 b=12.1335 c=3.6986 alpha=90.00 beta=90.00 gamma=161.82
Fractional coordinates of all 7 atoms:
Th 0.0000 0.0000 0.0000
Th 0.1840 0.8160 0.0000
Th 0.8160 0.1840 0.0000
Tl 0.4099 0.5901 0.5000
Tl 0.5901 0.4099 0.5000
Co 0.2912 0.7088 0.5000
Co 0.7088 0.2912 0.5000